# BaCuAs (PBE-GGA, relaxed)
# magnetization = 0.00 μB/f.u.
# crystal system = hexagonal
# formation energy = -0.09 eV/atom
data_BaCuAs
_chemical_formula_sum 'Ba2 Cu2 As2'
_symmetry_space_group_name_H-M 'P 1'
_symmetry_Int_Tables_number 1
_cell_length_a 5.423
_cell_length_b 5.423
_cell_length_c 6.549
_cell_angle_alpha 90.00
_cell_angle_beta 90.00
_cell_angle_gamma 120.00
loop_
_symmetry_equiv_pos_as_xyz
'x,y,z'
loop_
_atom_site_label
_atom_site_type_symbol
_atom_site_fract_x
_atom_site_fract_y
_atom_site_fract_z
As1 As 0.333 0.667 0.750
As2 As 0.667 0.333 0.250
Ba1 Ba 0.333 0.667 0.250
Ba2 Ba 0.667 0.333 0.750
Cu1 Cu 0.000 0.000 0.000
Cu2 Cu 0.000 0.000 0.500